A relaxed structure of KSrCu2, computed with PBE.

Calculated values
As for the formation enthalpy at 0 K: 17.4 kJ/mol of atoms. As for the offset from the most stable computed form: 43 meV/atom. For the mass density, the calculation gives 3.39 g cm⁻³. The uncorrected energy comes out at -10.25 eV per formula unit.

Unit cell a=4.0554 b=3.9999 c=7.6714 alpha=90.00 beta=90.76 gamma=90.00
Closest atoms and distances in Å follow each position.
Space group P2/m (No. 10)
One atom of each set of equivalent atoms:
K  0.0000  0.0000  0.0000 x1  8 Cu 3.79-3.84, 2 Sr 3.84, 4 K 4.00-4.06
Sr  0.0000  0.0000  0.5000 x1  8 Cu 3.13
Cu  0.4966  0.5000  0.3312 x2  1 Cu 2.59